Entry from Alexandria: crystalline Hf2MnZn2 at its relaxed geometry (PBE).

D(E_F), states/eV per atom: 0.778
Total energy, eV/cell: -30.69
ΔE to the lowest computed polymorph, meV per atom: 104
Formation enthalpy at 0 K, meV/atom: 186

Cell lengths 8.649, 8.649, 8.649 Å; angles 158.09, 158.09, 31.18 degrees
Positions (direct):
Hf  0.090  0.090  0.000
Hf  0.910  0.910  0.000
Mn  0.500  0.500  0.000
Zn  0.250  0.750  0.500
Zn  0.750  0.250  0.500



Entry from Alexandria: crystalline TmZr2Be at its relaxed geometry (PBE).

D(E_F), states/eV per atom: 1.230
Total energy, eV/cell: -25.03
Formation enthalpy at 0 K, meV/atom: 65

Cell lengths 3.148, 3.148, 8.439 Å; angles 90.00, 90.00, 90.00 degrees
Positions (direct):
Tm  0.000  0.000  0.000
Zr  0.500  0.500  0.307
Zr  0.500  0.500  0.693
Be  0.000  0.000  0.500



Entry from Alexandria: crystalline V4B4W at its relaxed geometry (PBE).

D(E_F), states/eV per atom: 0.446
Total energy, eV/cell: -155.94
Formation enthalpy at 0 K, meV/atom: -204

Cell lengths 6.744, 6.744, 4.296 Å; angles 90.00, 90.00, 90.00 degrees
Positions (direct):
V  0.068  0.659  0.117
V  0.159  0.932  0.617
V  0.341  0.568  0.617
V  0.432  0.841  0.117
V  0.568  0.159  0.883
V  0.659  0.432  0.383
V  0.841  0.068  0.383
V  0.932  0.341  0.883
B  0.026  0.609  0.612
B  0.109  0.974  0.112
B  0.391  0.526  0.112
B  0.474  0.891  0.612
B  0.526  0.109  0.388
B  0.609  0.474  0.888
B  0.891  0.026  0.888
B  0.974  0.391  0.388
W  0.250  0.250  0.250
W  0.750  0.750  0.750



Entry from Alexandria: crystalline La2TmTl4 at its relaxed geometry (PBE).

D(E_F), states/eV per atom: 1.743
Total energy, eV/cell: -23.42
ΔE to the lowest computed polymorph, meV per atom: 311
Formation enthalpy at 0 K, meV/atom: 53

Cell lengths 9.148, 9.148, 9.148 Å; angles 144.04, 144.04, 51.76 degrees
Positions (direct):
La  0.116  0.116  0.000
La  0.884  0.884  0.000
Tm  0.500  0.500  0.000
Tl  0.000  0.500  0.500
Tl  0.315  0.315  0.000
Tl  0.500  0.000  0.500
Tl  0.685  0.685  0.000



Entry from Alexandria: crystalline DyErRuPt at its relaxed geometry (PBE).

D(E_F), states/eV per atom: 0.526
Total energy, eV/cell: -27.75
ΔE to the lowest computed polymorph, meV per atom: 47
Formation enthalpy at 0 K, meV/atom: -817

Cell lengths 4.847, 4.847, 4.847 Å; angles 60.00, 60.00, 60.00 degrees
Positions (direct):
Dy  0.000  0.000  0.000
Er  0.500  0.500  0.500
Ru  0.750  0.750  0.750
Pt  0.250  0.250  0.250



Entry from Alexandria: crystalline Na2MgBrCl at its relaxed geometry (PBE).

D(E_F), states/eV per atom: 0.188
Formation energy (no corrections), meV per atom: -664.8
Total energy, eV/cell: -11.08

Cell lengths 5.100, 5.100, 6.936 Å; angles 90.00, 90.00, 90.00 degrees
Positions (direct):
Na  0.000  0.500  0.000
Na  0.500  0.000  0.000
Mg  0.000  0.000  0.500
Br  0.500  0.500  0.500
Cl  0.500  0.500  0.000